No. 1
DFT (PBEsol) results for a relaxed FeCoP2Cl crystal.

Values from the calculation:
Total moment (Bohr magnetons per cell): 2.61
Fermi-level density of states (states/eV/f.u.): 5.48
E (eV for the cell shown): -26.89

Lattice parameters (Å, degrees): 4.216 4.216 4.692 90.00 90.00 90.00
Site moments in Bohr magnetons follow the coordinates.
Fractional coordinates of all 5 atoms:
P: 0.000 0.500 0.000  -0.09
P: 0.500 0.000 0.000  -0.09
Co: 0.000 0.000 0.000  -0.33
Fe: 0.500 0.500 0.500  3.16
Cl: 0.000 0.000 0.500  0.01

***

No. 2
DFT (PBEsol) results for a relaxed Ga3CoCl crystal.

Values from the calculation:
Total moment (Bohr magnetons per cell): 0.00
Fermi-level density of states (states/eV/f.u.): 2.70
E (eV for the cell shown): -21.36

Lattice parameters (Å, degrees): 4.544 4.544 4.544 90.00 90.00 90.00
Fractional coordinates of all 5 atoms:
Co: 0.000 0.000 0.000
Ga: 0.000 0.500 0.000
Ga: 0.000 0.000 0.500
Ga: 0.500 0.000 0.000
Cl: 0.500 0.500 0.500

***

No. 3
DFT (PBEsol) results for a relaxed GaCo3Cl crystal.

Values from the calculation:
Total moment (Bohr magnetons per cell): 1.35
Fermi-level density of states (states/eV/f.u.): 6.33
E (eV for the cell shown): -25.20

Lattice parameters (Å, degrees): 4.028 4.028 4.028 90.00 90.00 90.00
Site moments in Bohr magnetons follow the coordinates.
Fractional coordinates of all 5 atoms:
Co: 0.000 0.500 0.000  0.47
Co: 0.000 0.000 0.500  0.47
Co: 0.500 0.000 0.000  0.47
Ga: 0.500 0.500 0.500  -0.01
Cl: 0.000 0.000 0.000  0.02

***

No. 4
DFT (PBEsol) results for a relaxed GaCoCl2 crystal.

Values from the calculation:
Total moment (Bohr magnetons per cell): 1.13
Fermi-level density of states (states/eV/f.u.): 3.02
E (eV for the cell shown): -32.41

Lattice parameters (Å, degrees): 4.722 6.182 6.182 81.61 67.55 67.55
Site moments in Bohr magnetons follow the coordinates.
Fractional coordinates of all 8 atoms:
Co: 0.500 0.000 0.000  0.54
Co: 0.250 0.500 0.500  0.54
Ga: 0.000 0.000 0.000  -0.01
Ga: 0.750 0.500 0.500  -0.01
Cl: 0.481 0.144 0.644  0.02
Cl: 0.269 0.856 0.356  0.02
Cl: 0.375 0.356 0.144  0.02
Cl: 0.875 0.644 0.856  0.02

***

Formation energy without anion corrections list, top to bottom, in kcal/mol of atoms: 15.7, -7.3, 15.5, -6.4